Material: Sc4In2C
Method: DFT, PBE-GGA
State: optimized geometry

Unit cell a=4.871 b=22.050 c=3.224 alpha=90.00 beta=90.00 gamma=90.00
Space group Cmmm (No. 65)
Inequivalent atoms, fractional coordinates:
Sc  0.000  0.066  0.000 (multiplicity 4)
Sc  0.000  0.202  0.500 (multiplicity 4)
In  0.000  0.336  0.000 (multiplicity 4)
C  0.000  0.000  0.500 (multiplicity 2)

Values from the calculation:
Formation energy in eV per formula unit: -0.66
D(E_F) in states/eV per atom: 0.812
Crystal system: orthorhombic



Material: Ac7CdSn4
Method: DFT, PBE-GGA
State: optimized geometry

Unit cell a=16.480 b=6.045 c=11.895 alpha=90.00 beta=126.74 gamma=90.00
Space group C2/m (No. 12)
Inequivalent atoms, fractional coordinates:
Ac  0.000  0.000  0.000 (multiplicity 2)
Ac  0.077  0.500  0.326 (multiplicity 4)
Ac  0.152  0.000  0.573 (multiplicity 4)
Ac  0.206  0.500  0.867 (multiplicity 4)
Cd  0.000  0.500  0.000 (multiplicity 2)
Sn  0.077  0.000  0.782 (multiplicity 4)
Sn  0.215  0.000  0.336 (multiplicity 4)

Values from the calculation:
Formation energy in eV per formula unit: -4.14
D(E_F) in states/eV per atom: 0.945
Crystal system: monoclinic



Material: YMn2Co
Method: DFT, PBE-GGA
State: optimized geometry

Unit cell a=5.433 b=9.424 c=2.995 alpha=90.00 beta=119.66 gamma=90.00
Space group C2/m (No. 12)
Inequivalent atoms, fractional coordinates:
Y  0.000  0.000  0.000 (multiplicity 2)
Mn  0.250  0.250  0.500 (multiplicity 4)
Co  0.000  0.500  0.000 (multiplicity 2)

Values from the calculation:
Formation energy in eV per formula unit: 1.84
D(E_F) in states/eV per atom: 0.961
Crystal system: monoclinic



Material: ZnAgMo2
Method: DFT, PBE-GGA
State: optimized geometry

Unit cell a=3.718 b=3.766 c=4.495 alpha=90.00 beta=90.00 gamma=90.00
Space group Pmmm (No. 47)
Inequivalent atoms, fractional coordinates:
Zn  0.000  0.000  0.000 (multiplicity 1)
Ag  0.500  0.500  0.000 (multiplicity 1)
Mo  0.000  0.500  0.500 (multiplicity 1)
Mo  0.500  0.000  0.500 (multiplicity 1)

Values from the calculation:
Formation energy in eV per formula unit: 1.16
D(E_F) in states/eV per atom: 0.454
Crystal system: orthorhombic



Material: CrAs2PtBr
Method: DFT, PBE-GGA
State: optimized geometry

Unit cell a=4.875 b=4.875 c=5.325 alpha=90.00 beta=90.00 gamma=90.00
Space group P4/mmm (No. 123)
Inequivalent atoms, fractional coordinates:
Cr  0.000  0.000  0.000 (multiplicity 1)
As  0.000  0.500  0.500 (multiplicity 2)
Pt  0.500  0.500  0.500 (multiplicity 1)
Br  0.500  0.500  0.000 (multiplicity 1)

Values from the calculation:
D(E_F) in states/eV per atom: 0.896
Formation energy (no corrections) in meV per atom: 695
Crystal system: tetragonal



Material: ErPaOs2
Method: DFT, PBE-GGA
State: optimized geometry

Unit cell a=3.473 b=3.473 c=6.718 alpha=90.00 beta=90.00 gamma=90.00
Space group P4/mmm (No. 123)
Inequivalent atoms, fractional coordinates:
Er  0.000  0.000  0.000 (multiplicity 1)
Pa  0.000  0.000  0.500 (multiplicity 1)
Os  0.500  0.500  0.270 (multiplicity 2)

Values from the calculation:
Formation energy in eV per formula unit: -1.22
D(E_F) in states/eV per atom: 0.697
Crystal system: tetragonal



Material: Ho2Er2S3
Method: DFT, PBE-GGA
State: optimized geometry

Unit cell a=12.714 b=3.815 c=6.638 alpha=90.00 beta=100.25 gamma=90.00
Space group C2/m (No. 12)
Inequivalent atoms, fractional coordinates:
Ho  0.124  0.000  0.379 (multiplicity 4)
Er  0.126  0.500  0.874 (multiplicity 4)
S  0.000  0.000  0.000 (multiplicity 2)
S  0.247  0.500  0.247 (multiplicity 4)

Values from the calculation:
D(E_F) in states/eV per atom: 0.452
Formation energy (no corrections) in meV per atom: -1684
Crystal system: monoclinic



Material: NdBeCu2
Method: DFT, PBE-GGA
State: optimized geometry

Unit cell a=4.0337 b=4.0337 c=14.7461 alpha=90.00 beta=90.00 gamma=120.00
Space group R-3m (No. 166, hexagonal axes)
Inequivalent atoms, fractional coordinates:
Nd  0.0000  0.0000  0.0000 (multiplicity 3)
Be  0.0000  0.0000  0.5000 (multiplicity 3)
Cu  0.0000  0.0000  0.1973 (multiplicity 6)

Values from the calculation:
Formation energy in eV per formula unit: -0.46
D(E_F) in states/eV per atom: 0.716
Crystal system: trigonal



Material: Pr3Al3Ga2
Method: DFT, PBE-GGA
State: optimized geometry

Unit cell a=4.293 b=11.565 c=16.130 alpha=90.00 beta=90.00 gamma=90.00
Space group Cmcm (No. 63)
Inequivalent atoms, fractional coordinates:
Pr  0.000  0.063  0.250 (multiplicity 4)
Pr  0.000  0.357  0.093 (multiplicity 8)
Al  0.000  0.078  0.055 (multiplicity 8)
Al  0.000  0.213  0.750 (multiplicity 4)
Ga  0.000  0.348  0.618 (multiplicity 8)

Values from the calculation:
Formation energy in eV per formula unit: -4.13
D(E_F) in states/eV per atom: 0.650
Crystal system: orthorhombic



Material: KPu2GeO8
Method: DFT, PBE-GGA
State: optimized geometry

Unit cell a=4.964 b=4.968 c=7.016 alpha=86.60 beta=86.56 gamma=85.08
Space group P-1 (No. 2)
Inequivalent atoms, fractional coordinates:
K  0.000  0.000  0.000 (multiplicity 1)
Pu  0.484  0.484  0.262 (multiplicity 2)
Ge  0.000  0.000  0.500 (multiplicity 1)
O  0.180  0.790  0.692 (multiplicity 2)
O  0.211  0.821  0.308 (multiplicity 2)
O  0.302  0.303  0.492 (multiplicity 2)
O  0.340  0.342  0.961 (multiplicity 2)

Values from the calculation:
D(E_F) in states/eV per atom: 0.656
Formation energy (no corrections) in meV per atom: -2128
Crystal system: triclinic



Material: La3SnH3
Method: DFT, PBE-GGA
State: optimized geometry

Unit cell a=6.655 b=6.655 c=6.655 alpha=90.00 beta=90.00 gamma=90.00
Space group Pm-3n (No. 223)
Inequivalent atoms, fractional coordinates:
La  0.000  0.250  0.500 (multiplicity 6)
Sn  0.000  0.000  0.000 (multiplicity 2)
H  0.000  0.500  0.250 (multiplicity 6)

Values from the calculation:
Raw total energy in eV/atom: -4.71
D(E_F) in states/eV per atom: 0.740
Crystal system: cubic



Material: Na4ZnI6
Method: DFT, PBE-GGA
State: optimized geometry

Unit cell a=14.982 b=8.585 c=15.363 alpha=90.00 beta=111.41 gamma=90.00
Space group Cc (No. 9)
Inequivalent atoms, fractional coordinates:
Na  0.000  0.095  0.000 (multiplicity 4)
Na  0.132  0.337  0.360 (multiplicity 4)
Na  0.318  0.373  0.700 (multiplicity 4)
Na  0.366  0.112  0.029 (multiplicity 4)
Zn  0.069  0.222  0.766 (multiplicity 4)
I  0.107  0.464  0.677 (multiplicity 4)
I  0.128  0.038  0.216 (multiplicity 4)
I  0.154  0.281  0.947 (multiplicity 4)
I  0.323  0.241  0.516 (multiplicity 4)
I  0.381  0.273  0.221 (multiplicity 4)
I  0.452  0.276  0.898 (multiplicity 4)

Values from the calculation:
D(E_F) in states/eV per atom: 0.000
Formation energy (no corrections) in meV per atom: -1054
Crystal system: monoclinic